# Mn4PtBr (PBE-GGA, relaxed)
# **Total energy**: -161.279 eV/cell
# **ΔE_f (raw)**: 4.07 eV per formula unit
data_Mn4PtBr
_cell_length_a 7.047
_cell_length_b 7.047
_cell_length_c 7.047
_cell_angle_alpha 90.00
_cell_angle_beta 90.00
_cell_angle_gamma 90.00
_symmetry_space_group_name_H-M 'F -4 3 m'
_symmetry_Int_Tables_number 216
_symmetry_space_group_name_Hall 'F -4 2 3'
loop_
_atom_site_label
_atom_site_type_symbol
_atom_site_fract_x
_atom_site_fract_y
_atom_site_fract_z
Mn1 Mn 0.125 0.125 0.125
Pt1 Pt 0.250 0.250 0.750
Br1 Br 0.000 0.000 0.500

=====

# NaNp2AgSe4 (PBE-GGA, relaxed)
# **Total energy**: -206.598 eV/cell
# **ΔE_f (raw)**: -7.66 eV per formula unit
data_NaNp2AgSe4
_cell_length_a 4.169
_cell_length_b 13.559
_cell_length_c 14.760
_cell_angle_alpha 90.00
_cell_angle_beta 90.00
_cell_angle_gamma 90.00
_symmetry_space_group_name_H-M 'C m c m'
_symmetry_Int_Tables_number 63
_symmetry_space_group_name_Hall '-C 2c 2'
loop_
_atom_site_label
_atom_site_type_symbol
_atom_site_fract_x
_atom_site_fract_y
_atom_site_fract_z
Na1 Na 0.000 0.123 0.250
Np1 Np 0.000 0.369 0.068
Ag1 Ag 0.000 0.158 0.750
Se1 Se 0.000 0.000 0.000
Se2 Se 0.000 0.274 0.607
Se3 Se 0.000 0.459 0.250

=====

# Ac2CePaN5 (PBE-GGA, relaxed)
# **Total energy**: -76.568 eV/cell
# **ΔE_f (raw)**: -11.29 eV per formula unit
data_Ac2CePaN5
_cell_length_a 4.320
_cell_length_b 4.320
_cell_length_c 9.082
_cell_angle_alpha 90.00
_cell_angle_beta 90.00
_cell_angle_gamma 90.00
_symmetry_space_group_name_H-M 'P 4/m m m'
_symmetry_Int_Tables_number 123
_symmetry_space_group_name_Hall '-P 4 2'
loop_
_atom_site_label
_atom_site_type_symbol
_atom_site_fract_x
_atom_site_fract_y
_atom_site_fract_z
Ac1 Ac 0.000 0.000 0.222
Ce1 Ce 0.500 0.500 0.500
Pa1 Pa 0.500 0.500 0.000
N1 N 0.000 0.000 0.500
N2 N 0.000 0.500 0.000
N3 N 0.500 0.500 0.267

=====

# BaFeRe2 (PBE-GGA, relaxed)
# **Energy above the lowest structure with this stoichiometry**: 0.278 eV/atom
# **Formation energy**: 0.8223 eV per atom
# **Total energy**: -31.992 eV/cell
data_BaFeRe2
_cell_length_a 3.159
_cell_length_b 3.194
_cell_length_c 7.890
_cell_angle_alpha 90.00
_cell_angle_beta 90.00
_cell_angle_gamma 90.00
_symmetry_space_group_name_H-M 'P m m m'
_symmetry_Int_Tables_number 47
loop_
_symmetry_equiv_pos_as_xyz
'x,y,z'
'-x,-y,-z'
'-x,-y,z'
'x,y,-z'
'x,-y,-z'
'-x,y,z'
'-x,y,-z'
'x,-y,z'
loop_
_atom_site_label
_atom_site_type_symbol
_atom_site_fract_x
_atom_site_fract_y
_atom_site_fract_z
Ba1 Ba 0.000 0.000 0.000
Fe1 Fe 0.000 0.000 0.500
Re1 Re 0.500 0.500 0.346

=====

| no. | ρ (Mg/m³) | D(E_F) (states/eV per cell) |
| --- | --- | --- |
| 1 | 9.39 | 33.02 |
| 2 | 7.33 | 88.27 |
| 3 | 8.77 | 1.68 |
| 4 | 11.80 | 3.69 |